#i
The following is a DFT calculation (PBE-GGA) of a geometry-optimized PIrAuOF structure.

Cell lengths 3.389, 5.004, 5.060 Å; angles 97.80, 104.29, 97.76 degrees
Sites, in units of the cell vectors:
Au 0.843 0.990 0.264
P 0.144 0.416 0.156
Ir 0.760 0.504 0.447
F 0.622 0.791 0.712
O 0.050 0.387 0.844


#ii
The following is a DFT calculation (PBE-GGA) of a geometry-optimized PIrAuOF structure.

Summary:
DOS(E_F) (states/eV/cell): 1.2

Cell lengths 2.828, 5.632, 5.783 Å; angles 109.82, 90.37, 104.38 degrees
Sites, in units of the cell vectors:
F 0.389 0.720 0.105
O 0.163 0.284 0.311
Au 0.045 0.041 0.783
Ir 0.704 0.361 0.561
P 0.367 0.682 0.817


#iii
The following is a DFT calculation (PBE-GGA) of a geometry-optimized PIrAuOF structure.

Summary:
DOS(E_F) (states/eV/cell): 0.0

Cell lengths 3.458, 5.894, 6.172 Å; angles 80.44, 83.32, 85.19 degrees
Sites, in units of the cell vectors:
F 0.421 0.067 0.245
Ir 0.951 0.622 0.495
O 0.003 0.478 0.781
Au 0.836 0.615 0.063
P 0.458 0.795 0.328


#iv
The following is a DFT calculation (PBE-GGA) of a geometry-optimized PIrAuOF structure.

Summary:
DOS(E_F) (states/eV/cell): 3.7

Cell lengths 4.955, 2.871, 10.305 Å; angles 90.00, 98.59, 90.00 degrees
Sites, in units of the cell vectors:
Au 0.952 0.000 0.810
O 0.358 0.500 0.608
P 0.508 0.500 0.490
F 0.819 0.000 0.059
Ir 0.450 0.500 0.821
Ir 0.450 0.000 0.321
P 0.508 0.000 0.990
F 0.819 0.500 0.559
O 0.358 0.000 0.108
Au 0.952 0.500 0.310


#iv takes first place; second place is 22.4 kJ/mol of atoms up.